(1)
Crystalline GaB at its relaxed geometry. Source: the Alexandria database, functional PBE-GGA.

Geometry as POSCAR:
```
GaB
1.0
-7.2681 4.1524 -0.5400
1.7225 -6.1624 -5.4238
-1.2914 -2.0159 1.8803
Ga B
6 6
Direct
0.8228 0.2516 0.2500
0.5712 0.8228 0.7500
0.7484 0.5712 0.2500
0.1772 0.7484 0.7500
0.4288 0.1772 0.2500
0.2516 0.4288 0.7500
0.5606 0.0133 0.2500
0.5473 0.5606 0.7500
0.9867 0.5473 0.2500
0.4394 0.9867 0.7500
0.4527 0.4394 0.2500
0.0133 0.4527 0.7500
```

ΔH_f (0 K): 0.36 eV/atom
volume: 30.92 Å³/f.u.
total moment: 0.0000 μB/atom
energy relative to the lowest polymorph listed for this composition: 0.098 eV per atom

***

(2)
Crystalline Ga4B at its relaxed geometry. Source: the Alexandria database, functional PBE-GGA.

Geometry as POSCAR:
```
Ga4B
1.0
-0.6567 4.3839 0.0511
-4.3547 -0.6463 -0.5209
-0.5077 -0.1274 4.4021
B Ga
1 4
Direct
0.5000 0.5000 0.5000
0.0000 0.0000 0.0000
0.5000 0.0000 0.5000
0.0000 0.5000 0.5000
0.5000 0.5000 0.0000
```

ΔH_f (0 K): 0.42 eV/atom
volume: 87.12 Å³/f.u.
total moment: 0.0000 μB/atom

***

(3)
Crystalline GaB at its relaxed geometry. Source: the Alexandria database, functional PBE-GGA.

Geometry as POSCAR:
```
GaB
1.0
4.5956 0.0000 0.0405
0.0000 3.6330 0.0000
-2.1216 0.0000 6.2507
B Ga
4 4
Direct
0.1671 0.0000 0.5937
0.8329 0.0000 0.4063
0.1671 0.5000 0.0937
0.8329 0.5000 0.9063
0.7099 0.0000 0.7145
0.2901 0.0000 0.2855
0.7099 0.5000 0.2145
0.2901 0.5000 0.7855
```

ΔH_f (0 K): 0.40 eV/atom
volume: 26.17 Å³/f.u.
total moment: 0.0000 μB/atom
energy relative to the lowest polymorph listed for this composition: 0.137 eV per atom

***

(4)
Crystalline GaB at its relaxed geometry. Source: the Alexandria database, functional PBE-GGA.

Geometry as POSCAR:
```
GaB
1.0
-2.8782 -4.7611 6.3703
7.3766 -4.7626 -0.2266
2.6698 3.9378 4.1493
Ga B
16 16
Direct
0.2558 0.0000 0.0000
0.7442 0.0000 0.0000
0.9942 0.7500 0.2500
0.5058 0.7500 0.2500
0.2558 0.5000 0.5000
0.7442 0.5000 0.5000
0.9942 0.2500 0.7500
0.5058 0.2500 0.7500
0.7558 0.0000 0.5000
0.2442 0.0000 0.5000
0.4942 0.7500 0.7500
0.0058 0.7500 0.7500
0.7558 0.5000 0.0000
0.2442 0.5000 0.0000
0.4942 0.2500 0.2500
0.0058 0.2500 0.2500
0.0000 0.9053 0.0000
0.0000 0.0947 0.0000
0.2500 0.8447 0.2500
0.2500 0.6553 0.2500
0.0000 0.4053 0.5000
0.0000 0.5947 0.5000
0.2500 0.3447 0.7500
0.2500 0.1553 0.7500
0.5000 0.9053 0.5000
0.5000 0.0947 0.5000
0.7500 0.8447 0.7500
0.7500 0.6553 0.7500
0.5000 0.4053 0.0000
0.5000 0.5947 0.0000
0.7500 0.3447 0.2500
0.7500 0.1553 0.2500
```

ΔH_f (0 K): 0.53 eV/atom
volume: 29.31 Å³/f.u.
total moment: 0.0000 μB/atom
energy relative to the lowest polymorph listed for this composition: 0.273 eV per atom

***

(5)
Crystalline GaB at its relaxed geometry. Source: the Alexandria database, functional PBE-GGA.

Geometry as POSCAR:
```
GaB
1.0
8.3559 0.0000 0.0000
0.0000 8.3559 0.0000
0.0000 0.0000 3.0796
Ga B
8 8
Direct
0.7342 0.3932 0.5000
0.2658 0.6068 0.5000
0.6068 0.7342 0.5000
0.3932 0.2658 0.5000
0.9257 0.7981 0.0000
0.0743 0.2019 0.0000
0.2019 0.9257 0.0000
0.7981 0.0743 0.0000
0.8346 0.6192 0.5000
0.1654 0.3808 0.5000
0.3808 0.8346 0.5000
0.6192 0.1654 0.5000
0.9032 0.5399 0.0000
0.0968 0.4601 0.0000
0.4601 0.9032 0.0000
0.5399 0.0968 0.0000
```

ΔH_f (0 K): 0.29 eV/atom
volume: 26.88 Å³/f.u.
total moment: 0.0000 μB/atom
energy relative to the lowest polymorph listed for this composition: 0.027 eV per atom

***

(6)
Crystalline GaB at its relaxed geometry. Source: the Alexandria database, functional PBE-GGA.

Geometry as POSCAR:
```
GaB
1.0
-1.0385 1.6249 2.4668
-0.6902 -3.5254 0.8131
4.9426 -0.0146 1.3154
B Ga
2 2
Direct
0.2466 0.4659 0.0394
0.7534 0.5341 0.9606
0.7837 0.9770 0.7074
0.2163 0.0230 0.2926
```

ΔH_f (0 K): 0.30 eV/atom
volume: 27.91 Å³/f.u.
total moment: 0.0000 μB/atom
energy relative to the lowest polymorph listed for this composition: 0.041 eV per atom

***

(7)
Crystalline GaB at its relaxed geometry. Source: the Alexandria database, functional PBE-GGA.

Geometry as POSCAR:
```
GaB
1.0
6.0508 0.0000 0.0000
0.0000 6.0508 0.0000
0.0000 0.0000 6.0508
Ga B
6 6
Direct
0.2500 0.0000 0.5000
0.7500 0.0000 0.5000
0.0000 0.5000 0.2500
0.0000 0.5000 0.7500
0.5000 0.2500 0.0000
0.5000 0.7500 0.0000
0.2500 0.5000 0.0000
0.7500 0.5000 0.0000
0.5000 0.0000 0.2500
0.5000 0.0000 0.7500
0.0000 0.2500 0.5000
0.0000 0.7500 0.5000
```

ΔH_f (0 K): 1.00 eV/atom
volume: 36.92 Å³/f.u.
total moment: 0.0000 μB/atom
energy relative to the lowest polymorph listed for this composition: 0.744 eV per atom

***

(8)
Crystalline GaB at its relaxed geometry. Source: the Alexandria database, functional PBE-GGA.

Geometry as POSCAR:
```
GaB
1.0
-6.5912 -1.9055 5.1592
2.7972 -8.0949 0.5838
1.6955 0.7624 2.4477
Ga B
8 8
Direct
0.4637 0.2428 0.0000
0.5363 0.7572 0.0000
0.7572 0.4637 0.0000
0.2428 0.5363 0.0000
0.9637 0.7428 0.5000
0.0363 0.2572 0.5000
0.2572 0.9637 0.5000
0.7428 0.0363 0.5000
0.2957 0.7778 0.0000
0.7043 0.2222 0.0000
0.2222 0.2957 0.0000
0.7778 0.7043 0.0000
0.7957 0.2778 0.5000
0.2043 0.7222 0.5000
0.7222 0.7957 0.5000
0.2778 0.2043 0.5000
```

ΔH_f (0 K): 0.35 eV/atom
volume: 28.31 Å³/f.u.
total moment: 0.0000 μB/atom
energy relative to the lowest polymorph listed for this composition: 0.087 eV per atom

***

(9)
Crystalline GaB at its relaxed geometry. Source: the Alexandria database, functional PBE-GGA.

Geometry as POSCAR:
```
GaB
1.0
3.0960 -0.0028 -0.0979
-1.5490 2.6866 0.0747
-1.3698 -0.9506 5.7480
B Ga
2 2
Direct
0.1713 0.3357 0.0070
0.8287 0.6643 0.9930
0.7023 0.1023 0.3051
0.2977 0.8977 0.6949
```

ΔH_f (0 K): 0.27 eV/atom
volume: 23.75 Å³/f.u.
total moment: 0.0000 μB/atom
energy relative to the lowest polymorph listed for this composition: 0.007 eV per atom

***

(10)
Crystalline GaB at its relaxed geometry. Source: the Alexandria database, functional PBE-GGA.

Geometry as POSCAR:
```
GaB
1.0
8.2565 0.0000 0.0000
0.0000 3.4736 0.0000
0.0000 0.0000 5.5981
Ga B
6 6
Direct
0.8426 0.0000 0.1908
0.1574 0.0000 0.1908
0.3426 0.5000 0.6908
0.6574 0.5000 0.6908
0.0000 0.5000 0.8411
0.5000 0.0000 0.3411
0.8030 0.0000 0.5989
0.1970 0.0000 0.5989
0.3030 0.5000 0.0989
0.6970 0.5000 0.0989
0.0000 0.0000 0.5814
0.5000 0.5000 0.0814
```

ΔH_f (0 K): 0.52 eV/atom
volume: 26.76 Å³/f.u.
total moment: 0.0000 μB/atom
energy relative to the lowest polymorph listed for this composition: 0.257 eV per atom

***

(11)
Crystalline GaB at its relaxed geometry. Source: the Alexandria database, functional PBE-GGA.

Geometry as POSCAR:
```
GaB
1.0
-0.5398 -0.5721 -2.9400
2.0255 -1.5714 -1.6401
-2.4867 -6.1297 0.1962
B Ga
2 2
Direct
0.1463 0.7074 0.0532
0.8146 0.3757 0.0472
0.6878 0.2539 0.3914
0.5618 0.1227 0.8013
```

ΔH_f (0 K): 0.26 eV/atom
volume: 25.74 Å³/f.u.
total moment: 0.0000 μB/atom
energy relative to the lowest polymorph listed for this composition: 0.000 eV per atom

***

(12)
Crystalline GaB at its relaxed geometry. Source: the Alexandria database, functional PBE-GGA.

Geometry as POSCAR:
```
GaB
1.0
-6.2189 -1.3313 1.2572
0.8292 -1.3982 2.6214
1.4534 4.6823 2.0376
B Ga
4 4
Direct
0.9993 0.0000 0.3339
0.0007 0.0000 0.6661
0.9993 0.5000 0.8339
0.0007 0.5000 0.1661
0.2959 0.0000 0.1451
0.7041 0.0000 0.8549
0.2959 0.5000 0.6451
0.7041 0.5000 0.3549
```

ΔH_f (0 K): 0.26 eV/atom
volume: 24.67 Å³/f.u.
total moment: 0.0000 μB/atom
energy relative to the lowest polymorph listed for this composition: 0.001 eV per atom

***

(13)
Crystalline GaB at its relaxed geometry. Source: the Alexandria database, functional PBE-GGA.

Geometry as POSCAR:
```
GaB
1.0
6.6866 0.0000 0.0000
0.0000 6.6866 0.0000
0.0000 0.0000 6.6866
Ga B
8 8
Direct
0.3321 0.3321 0.3321
0.3321 0.6679 0.6679
0.6679 0.3321 0.6679
0.6679 0.6679 0.3321
0.8321 0.8321 0.8321
0.8321 0.1679 0.1679
0.1679 0.8321 0.1679
0.1679 0.1679 0.8321
0.1565 0.1565 0.1565
0.1565 0.8435 0.8435
0.8435 0.1565 0.8435
0.8435 0.8435 0.1565
0.6565 0.6565 0.6565
0.6565 0.3435 0.3435
0.3435 0.6565 0.3435
0.3435 0.3435 0.6565
```

ΔH_f (0 K): 1.00 eV/atom
volume: 37.37 Å³/f.u.
total moment: 0.0000 μB/atom
energy relative to the lowest polymorph listed for this composition: 0.744 eV per atom

***

(14)
Crystalline GaB at its relaxed geometry. Source: the Alexandria database, functional PBE-GGA.

Geometry as POSCAR:
```
GaB
1.0
6.4045 0.0000 0.0000
0.0000 5.6969 0.0000
0.0000 0.0000 6.9476
Ga B
8 8
Direct
0.6507 0.0936 0.0970
0.1507 0.4064 0.9030
0.3493 0.5936 0.4030
0.8493 0.9064 0.5970
0.3771 0.0238 0.8057
0.8771 0.4762 0.1943
0.6229 0.5238 0.6943
0.1229 0.9762 0.3057
0.3269 0.1755 0.1068
0.8269 0.3245 0.8932
0.6731 0.6755 0.3932
0.1731 0.8245 0.6068
0.3101 0.6425 0.7298
0.8101 0.8575 0.2702
0.6899 0.1425 0.7702
0.1899 0.3575 0.2298
```

ΔH_f (0 K): 0.49 eV/atom
volume: 31.69 Å³/f.u.
total moment: 0.0000 μB/atom
energy relative to the lowest polymorph listed for this composition: 0.226 eV per atom

***

(15)
Crystalline GaB at its relaxed geometry. Source: the Alexandria database, functional PBE-GGA.

Geometry as POSCAR:
```
GaB
1.0
6.5753 0.0000 -0.0302
0.0000 5.3130 0.0000
-0.6807 0.0000 2.9489
B Ga
4 4
Direct
0.9048 0.8342 0.2489
0.9048 0.1658 0.2489
0.9048 0.3342 0.7489
0.9048 0.6658 0.7489
0.6557 0.0000 0.6265
0.6557 0.5000 0.1265
0.2415 0.0000 0.4270
0.2415 0.5000 0.9270
```

ΔH_f (0 K): 0.26 eV/atom
volume: 25.73 Å³/f.u.
total moment: 0.0000 μB/atom
energy relative to the lowest polymorph listed for this composition: 0.000 eV per atom

***

(16)
Crystalline GaB at its relaxed geometry. Source: the Alexandria database, functional PBE-GGA.

Geometry as POSCAR:
```
GaB
1.0
4.5860 0.0000 0.0000
0.0000 4.5860 0.0000
0.0000 0.0000 4.5860
Ga B
4 4
Direct
0.5000 0.5000 0.5000
0.5000 0.0000 0.0000
0.0000 0.5000 0.0000
0.0000 0.0000 0.5000
0.0000 0.0000 0.0000
0.0000 0.5000 0.5000
0.5000 0.0000 0.5000
0.5000 0.5000 0.0000
```

ΔH_f (0 K): 0.88 eV/atom
volume: 24.11 Å³/f.u.
total moment: 0.0000 μB/atom
energy relative to the lowest polymorph listed for this composition: 0.620 eV per atom

***

(17)
Crystalline GaGeB at its relaxed geometry. Source: the Alexandria database, functional PBE-GGA.

Geometry as POSCAR:
```
GaGeB
1.0
7.2217 0.0000 0.0858
0.0000 3.5313 0.0000
-4.9256 0.0000 7.6631
Ge B Ga
4 4 4
Direct
0.1679 0.0000 0.3860
0.8321 0.0000 0.6140
0.1679 0.5000 0.8860
0.8321 0.5000 0.1140
0.0624 0.0000 0.9434
0.9376 0.0000 0.0566
0.0624 0.5000 0.4434
0.9376 0.5000 0.5566
0.6441 0.0000 0.7779
0.3559 0.0000 0.2221
0.6441 0.5000 0.2779
0.3559 0.5000 0.7221
```

ΔH_f (0 K): 0.31 eV/atom
volume: 49.23 Å³/f.u.
total moment: 0.0000 μB/atom
energy relative to the lowest polymorph listed for this composition: 0.089 eV per atom

***

(18)
Crystalline GaGeB at its relaxed geometry. Source: the Alexandria database, functional PBE-GGA.

Geometry as POSCAR:
```
GaGeB
1.0
3.5475 0.0029 0.0024
0.8429 4.9073 -0.0136
0.0591 1.0550 5.4769
Ge B Ga
2 2 2
Direct
0.9691 0.2378 0.8638
0.0309 0.7622 0.1362
0.3981 0.4781 0.8658
0.6019 0.5219 0.1342
0.3090 0.8012 0.5583
0.6910 0.1988 0.4417
```

ΔH_f (0 K): 0.31 eV/atom
volume: 47.69 Å³/f.u.
total moment: 0.0000 μB/atom
energy relative to the lowest polymorph listed for this composition: 0.086 eV per atom

***

(19)
Crystalline GaGeB at its relaxed geometry. Source: the Alexandria database, functional PBE-GGA.

Geometry as POSCAR:
```
GaGeB
1.0
5.7462 0.0000 0.0305
0.0000 3.0662 0.0000
-2.0548 0.0000 5.3809
Ge B Ga
2 2 2
Direct
0.5769 0.5000 0.7331
0.1790 0.5000 0.9917
0.9006 0.5000 0.6286
0.8608 0.0000 0.4933
0.1424 0.5000 0.4108
0.6000 0.0000 0.1171
```

ΔH_f (0 K): 0.27 eV/atom
volume: 47.50 Å³/f.u.
total moment: 0.0000 μB/atom
energy relative to the lowest polymorph listed for this composition: 0.045 eV per atom

***

(20)
Crystalline GaGeB at its relaxed geometry. Source: the Alexandria database, functional PBE-GGA.

Geometry as POSCAR:
```
GaGeB
1.0
3.4333 0.0128 0.0124
1.7167 5.5264 0.0095
1.7190 2.3274 5.0942
Ge B Ga
2 2 2
Direct
0.5703 0.6119 0.2487
0.4297 0.3881 0.7513
0.0277 0.8393 0.1054
0.9723 0.1607 0.8946
0.2197 0.8714 0.6873
0.7803 0.1286 0.3127
```

ΔH_f (0 K): 0.27 eV/atom
volume: 48.20 Å³/f.u.
total moment: 0.0000 μB/atom
energy relative to the lowest polymorph listed for this composition: 0.045 eV per atom

***

(21)
Crystalline GaGeB at its relaxed geometry. Source: the Alexandria database, functional PBE-GGA.

Geometry as POSCAR:
```
GaGeB
1.0
3.0353 0.0000 0.0107
0.0000 11.0169 0.0000
-0.6768 0.0000 5.7071
Ge B Ga
4 4 4
Direct
0.7376 0.2066 0.3109
0.2624 0.2066 0.6891
0.7376 0.7066 0.8109
0.2624 0.7066 0.1891
0.7656 0.3567 0.0658
0.2344 0.3567 0.9342
0.7656 0.8567 0.5658
0.2344 0.8567 0.4342
0.6641 0.9774 0.2197
0.3359 0.9774 0.7803
0.6641 0.4774 0.7197
0.3359 0.4774 0.2803
```

ΔH_f (0 K): 0.31 eV/atom
volume: 47.73 Å³/f.u.
total moment: 0.0000 μB/atom
energy relative to the lowest polymorph listed for this composition: 0.089 eV per atom

***

(22)
Crystalline GaGe2B at its relaxed geometry. Source: the Alexandria database, functional PBE-GGA.

Geometry as POSCAR:
```
GaGe2B
1.0
-4.7784 -1.2034 -2.3765
-1.1288 -3.5061 4.0450
-5.1351 1.2830 3.3786
Ge B Ga
4 2 2
Direct
0.5555 0.1250 0.2500
0.1945 0.6250 0.2500
0.3750 0.4445 0.7500
0.8750 0.8055 0.7500
0.5000 0.5000 0.0000
0.2500 0.7500 0.5000
0.0000 0.0000 0.0000
0.7500 0.2500 0.5000
```

ΔH_f (0 K): 0.32 eV/atom
volume: 74.02 Å³/f.u.
total moment: 0.0000 μB/atom
energy relative to the lowest polymorph listed for this composition: 0.000 eV per atom